Record 1
Computed, not measured: a relaxed Li2La2CdIn5 crystal at the PBE level of DFT.

Calculated values
For the volume, the calculation gives 485.2 Å³ per cell. The calculation puts the formation energy at -0.38 eV/atom. The crystal system is tetragonal. The spin magnetization is 0.0 μB per formula unit. The total energy comes out at -3.207 eV/atom.

a = 4.520 Å, b = 10.360 Å, c = 10.360 Å
α = 90.00°, β = 90.00°, γ = 90.00°
Positions (direct):
Li 0.000 0.109 0.609
Li 0.000 0.891 0.391
Li 0.000 0.609 0.891
Li 0.000 0.391 0.109
La 0.000 0.683 0.183
La 0.000 0.317 0.817
La 0.000 0.183 0.317
La 0.000 0.817 0.683
Cd 0.000 0.000 0.000
Cd 0.000 0.500 0.500
In 0.500 0.207 0.061
In 0.500 0.793 0.939
In 0.500 0.061 0.793
In 0.500 0.707 0.439
In 0.500 0.939 0.207
In 0.500 0.293 0.561
In 0.500 0.561 0.707
In 0.500 0.439 0.293
In 0.500 0.500 0.000
In 0.500 0.000 0.500

Record 2
Computed, not measured: a relaxed Li4LaCdIn2 crystal at the PBE level of DFT.

Calculated values
For the volume, the calculation gives 173.1 Å³ per cell. The calculation puts the formation energy at -0.24 eV/atom. The crystal system is trigonal. The spin magnetization is 0.0 μB per formula unit. The total energy comes out at -2.616 eV/atom.

a = 4.958 Å, b = 4.958 Å, c = 8.618 Å
α = 73.28°, β = 73.28°, γ = 60.00°
Positions (direct):
Li 0.391 0.391 0.826
Li 0.864 0.864 0.408
Li 0.136 0.136 0.592
Li 0.609 0.609 0.174
La 0.000 0.000 0.000
Cd 0.500 0.500 0.500
In 0.743 0.743 0.772
In 0.257 0.257 0.228

Record 3
Computed, not measured: a relaxed LaLuCdIn crystal at the PBE level of DFT.

Calculated values
For the volume, the calculation gives 112.2 Å³ per cell. The calculation puts the formation energy at -0.39 eV/atom. The crystal system is cubic. The spin magnetization is 0.0 μB per formula unit. The total energy comes out at -3.663 eV/atom.

a = 5.414 Å, b = 5.414 Å, c = 5.414 Å
α = 60.00°, β = 60.00°, γ = 60.00°
Positions (direct):
Cd 0.750 0.750 0.750
Lu 0.000 0.000 0.000
In 0.250 0.250 0.250
La 0.500 0.500 0.500